Rb2WBr6Cl after structural relaxation, computed with GGA-PBE.

Cell: 11.5557 11.5557 11.5557 Å, 90.00 90.00 90.00°
With the nearest neighbours (Å) after each atom.
Space group Fm-3m (No. 225)
Asymmetric unit:
Rb: 0.2500 0.2500 0.2500 (multiplicity 8)  12 Br 4.10
W: 0.0000 0.0000 0.0000 (multiplicity 4)  6 Br 2.52
Br: 0.0000 0.0000 0.2184 (multiplicity 24)  1 W 2.52
Cl: 0.0000 0.0000 0.5000 (multiplicity 4)  6 Br 3.25

Its crystal system is cubic. The uncorrected formation energy is -865.7 meV/atom.

=====

HfZrNiRu after structural relaxation, computed with GGA-PBE.

Cell: 6.4771 6.4771 6.4771 Å, 90.00 90.00 90.00°
With the nearest neighbours (Å) after each atom.
Space group F-43m (No. 216)
Asymmetric unit:
Hf: 0.0000 0.0000 0.0000 (multiplicity 4)  4 Ni 2.80, 4 Ru 2.80
Zr: 0.0000 0.0000 0.5000 (multiplicity 4)  4 Ru 2.80, 4 Ni 2.80
Ni: 0.2500 0.2500 0.7500 (multiplicity 4)  4 Zr 2.80, 4 Hf 2.80
Ru: 0.2500 0.2500 0.2500 (multiplicity 4)  4 Zr 2.80, 4 Hf 2.80

The calculation puts the total energy at -142.4 eV per cell. Its crystal system is cubic.

=====

LaPr3Y6Sc2 after structural relaxation, computed with GGA-PBE.

Cell: 6.1887 10.7162 11.8352 Å, 90.00 99.98 90.00°
With the nearest neighbours (Å) after each atom.
Space group C2/m (No. 12)
Asymmetric unit:
La: 0.0000 0.0000 0.0000 (multiplicity 2)  6 Y 3.52-3.53, 6 Sc 3.57
Pr: 0.0000 0.1672 0.5000 (multiplicity 4)  6 Pr 3.57-3.58, 6 Y 3.61-3.64
Pr: 0.0000 0.5000 0.5000 (multiplicity 2)  6 Pr 3.57-3.58, 6 Y 3.61-3.63
Y: 0.2450 0.5000 0.2441 (multiplicity 4)  2 Sc 3.51, 1 La 3.52, 6 Y 3.55-3.61, 3 Pr 3.61-3.64
Y: 0.2505 0.1683 0.2438 (multiplicity 8)  2 Sc 3.50-3.51, 1 La 3.53, 6 Y 3.55-3.61, 3 Pr 3.61-3.64
Sc: 0.0000 0.3333 0.0000 (multiplicity 4)  6 Y 3.50-3.51, 3 La 3.57, 3 Sc 3.57

The calculation puts the total energy at -140.4 eV per cell. Its crystal system is monoclinic.

=====

SnBiAs2C after structural relaxation, computed with GGA-PBE.

Cell: 4.5003 4.5003 5.1252 Å, 90.00 90.00 90.00°
With the nearest neighbours (Å) after each atom.
Space group P4/mmm (No. 123)
Asymmetric unit:
Sn: 0.0000 0.0000 0.0000 (multiplicity 1)  4 Bi 3.18, 8 As 3.41
Bi: 0.5000 0.5000 0.0000 (multiplicity 1)  2 C 2.56
As: 0.0000 0.5000 0.5000 (multiplicity 2)  2 C 2.25
C: 0.5000 0.5000 0.5000 (multiplicity 1)  4 As 2.25

The calculation puts the total energy at -21.8 eV per cell. Its crystal system is tetragonal.

=====

Y3TaS after structural relaxation, computed with GGA-PBE.

Cell: 5.4503 5.4503 5.4503 Å, 90.00 90.00 90.00°
With the nearest neighbours (Å) after each atom.
Space group Pm-3m (No. 221)
Asymmetric unit:
Y: 0.0000 0.0000 0.5000 (multiplicity 3)  2 Ta 2.73
Ta: 0.0000 0.0000 0.0000 (multiplicity 1)  6 Y 2.73
S: 0.5000 0.5000 0.5000 (multiplicity 1)  12 Y 3.85

Its crystal system is cubic. The uncorrected formation energy is 592.3 meV/atom. As for the relative energy among the computed polymorphs: 0.778 eV per atom.

=====

Sr2MgBi after structural relaxation, computed with GGA-PBE.

Cell: 8.3320 8.3320 8.3320 Å, 90.00 90.00 90.00°
With the nearest neighbours (Å) after each atom.
Space group Fm-3m (No. 225)
Asymmetric unit:
Sr: 0.2500 0.2500 0.2500 (multiplicity 8)  4 Bi 3.61, 4 Mg 3.61
Mg: 0.0000 0.0000 0.0000 (multiplicity 4)  8 Sr 3.61
Bi: 0.0000 0.0000 0.5000 (multiplicity 4)  8 Sr 3.61

Its crystal system is cubic. As for the relative energy among the computed polymorphs: 0.053 eV per atom.

=====

CaTaCrCu2 after structural relaxation, computed with GGA-PBE.

Cell: 4.7744 4.7744 4.3598 Å, 90.00 90.00 90.00°
With the nearest neighbours (Å) after each atom.
Space group P4/mmm (No. 123)
Asymmetric unit:
Ca: 0.0000 0.0000 0.0000 (multiplicity 1)  8 Cu 3.23, 4 Ta 3.38
Ta: 0.5000 0.5000 0.0000 (multiplicity 1)  2 Cr 2.18
Cr: 0.5000 0.5000 0.5000 (multiplicity 1)  2 Ta 2.18, 4 Cu 2.39
Cu: 0.0000 0.5000 0.5000 (multiplicity 2)  2 Cr 2.39

The calculation puts the total energy at -27.9 eV per cell. Its crystal system is tetragonal.

=====

Li2CaAgSe after structural relaxation, computed with GGA-PBE.

Cell: 4.7867 4.7867 5.6636 Å, 90.00 90.00 90.00°
With the nearest neighbours (Å) after each atom.
Space group P4/mmm (No. 123)
Asymmetric unit:
Li: 0.0000 0.5000 0.0000 (multiplicity 2)  2 Se 2.39
Ca: 0.0000 0.0000 0.5000 (multiplicity 1)  2 Se 2.83
Ag: 0.5000 0.5000 0.5000 (multiplicity 1)  4 Ca 3.38, 8 Li 3.71
Se: 0.0000 0.0000 0.0000 (multiplicity 1)  4 Li 2.39

Its crystal system is tetragonal. The uncorrected formation energy is -624.3 meV/atom.